# 1
Below is a geometry-optimized LaTcSbI2 structure, with properties calculated at the PBE level.

Structure (POSCAR):
```
LaTcSbI2
1.0
5.433 0.000 0.000
0.000 5.433 0.000
0.000 0.000 5.174
La Tc Sb I
1 1 1 2
direct
0.000 0.000 0.000 La
0.500 0.500 0.500 Tc
0.500 0.500 0.000 Sb
0.000 0.500 0.500 I
0.500 0.000 0.500 I
```

## Properties
The calculation puts the spin magnetization at 0.00 μB/atom. For the formation energy without anion corrections, the calculation gives 11 meV per atom.

---

# 2
Below is a geometry-optimized LaTcSb2I structure, with properties calculated at the PBE level.

Structure (POSCAR):
```
LaTcSb2I
1.0
5.139 0.000 0.000
0.000 5.139 0.000
0.000 0.000 5.651
La Tc Sb I
1 1 2 1
direct
0.000 0.000 0.000 La
0.500 0.500 0.500 Tc
0.000 0.500 0.500 Sb
0.500 0.000 0.500 Sb
0.500 0.500 0.000 I
```

## Properties
The calculation puts the spin magnetization at 0.00 μB/atom. For the formation energy without anion corrections, the calculation gives -33 meV per atom.

---

# 3
Below is a geometry-optimized LaTcSbI2 structure, with properties calculated at the PBE level.

Structure (POSCAR):
```
LaTcSbI2
1.0
6.127 0.000 0.000
0.000 6.127 0.000
0.000 0.000 6.390
La Tc Sb I
1 1 1 2
direct
0.000 0.000 0.000 La
0.500 0.500 0.500 Tc
0.000 0.000 0.500 Sb
0.000 0.500 0.000 I
0.500 0.000 0.000 I
```

## Properties
The calculation puts the spin magnetization at 0.97 μB/atom. For the formation energy without anion corrections, the calculation gives 565 meV per atom.

---

# 4
Below is a geometry-optimized La4SbTeI2 structure, with properties calculated at the PBE level.

Structure (POSCAR):
```
La4SbTeI2
1.0
7.874 0.000 0.000
0.000 4.659 0.000
-2.760 0.000 7.536
La Sb Te I
4 1 1 2
direct
0.230 0.000 0.241 La
0.230 0.500 0.745 La
0.770 0.000 0.759 La
0.770 0.500 0.255 La
0.000 0.500 0.000 Sb
0.000 0.000 0.500 Te
0.500 0.000 0.000 I
0.500 0.500 0.500 I
```

## Properties
The calculation puts the spin magnetization at 0.00 μB/atom. For the formation energy without anion corrections, the calculation gives -1239 meV per atom.

---

Question: Look up the formation energy without anion corrections of the third one.
Answer: 565 meV per atom